VASP calculation (PBE) on crystalline Be2Rh at its relaxed geometry.

a b c (Å): 4.445 4.445 5.680
angles (deg): 71.83 71.83 35.77
Positions (direct):
Be  0.969  0.969  0.280
Be  0.348  0.348  0.043
Be  0.652  0.652  0.957
Be  0.031  0.031  0.720
Rh  0.326  0.326  0.648
Rh  0.674  0.674  0.352

Output
DFT total energy   -5.2908 eV per atom
DFT formation energy   -34.4 kJ/mol of atoms
DOS(E_F)   2.13 states/eV per cell

VASP calculation (PBE) on crystalline SmIn2Hg2 at its relaxed geometry.

a b c (Å): 5.162 5.162 12.666
angles (deg): 90.00 90.00 120.00
Positions (direct):
Hg  0.667  0.333  0.382
Hg  0.333  0.667  0.618
Hg  0.667  0.333  0.118
Hg  0.333  0.667  0.882
In  0.000  0.000  0.000
In  0.667  0.333  0.750
In  0.000  0.000  0.500
In  0.333  0.667  0.250
Sm  0.000  0.000  0.750
Sm  0.000  0.000  0.250

Output
DFT total energy   -2.2001 eV per atom
DFT formation energy   -3.9 kJ/mol of atoms
DOS(E_F)   8.14 states/eV per cell

VASP calculation (PBE) on crystalline Rb3CuF5 at its relaxed geometry.

a b c (Å): 6.458 7.506 7.506
angles (deg): 90.00 90.00 90.00
Last column: magnetic moment on the atom in μB.
Positions (direct):
F  0.205  0.872  0.372  0.08
F  0.795  0.872  0.372  0.08
F  0.205  0.128  0.628  0.08
F  0.500  0.500  0.500  0.00
F  0.205  0.628  0.872  0.08
F  0.795  0.628  0.872  0.08
F  0.205  0.372  0.128  0.08
F  0.795  0.128  0.628  0.08
F  0.795  0.372  0.128  0.08
F  0.500  0.000  0.000  0.00
Rb  0.500  0.323  0.823  0.00
Rb  0.000  0.500  0.500  0.00
Rb  0.000  0.000  0.000  0.00
Rb  0.500  0.677  0.177  0.00
Rb  0.500  0.823  0.677  0.00
Rb  0.500  0.177  0.323  0.00
Cu  0.000  0.500  0.000  0.67
Cu  0.000  0.000  0.500  0.67

Output
DFT total energy   -4.1633 eV per atom
Formation energy without anion corrections   -226 kJ per mole of atoms
Energy relative to the lowest polymorph listed for this composition   0.0 kJ/mol of formula units

VASP calculation (PBE) on crystalline NaNdInTe3 at its relaxed geometry.

a b c (Å): 4.561 8.999 12.966
angles (deg): 108.05 90.00 90.00
Positions (direct):
Te  0.250  0.760  0.391
Te  0.750  0.429  0.129
Te  0.250  0.571  0.871
Te  0.750  0.933  0.146
Te  0.750  0.240  0.609
Te  0.250  0.067  0.854
In  0.750  0.969  0.382
In  0.250  0.031  0.618
Na  0.250  0.178  0.124
Na  0.750  0.822  0.876
Nd  0.750  0.327  0.872
Nd  0.250  0.673  0.128

Output
DFT total energy   -3.9160 eV per atom
Formation energy without anion corrections   -84 kJ per mole of atoms
DOS(E_F)   4.90 states/eV per cell

VASP calculation (PBE) on crystalline Hf6TiIn10 at its relaxed geometry.

a b c (Å): 5.926 8.657 8.657
angles (deg): 120.00 90.00 90.00
Positions (direct):
Hf  0.715  0.612  0.000
Hf  0.715  0.000  0.612
Hf  0.715  0.388  0.388
Hf  0.285  0.000  0.388
Hf  0.285  0.612  0.612
Hf  0.285  0.388  0.000
In  0.000  0.333  0.667
In  0.000  0.667  0.333
In  0.798  0.000  0.257
In  0.500  0.667  0.333
In  0.500  0.333  0.667
In  0.202  0.257  0.257
In  0.798  0.257  0.000
In  0.798  0.743  0.743
In  0.202  0.000  0.743
In  0.202  0.743  0.000
Ti  0.500  0.000  0.000

Output
DFT total energy   -5.5633 eV per atom
DFT formation energy   2.4 kJ/mol of atoms
DOS(E_F)   8.94 states/eV per cell

VASP calculation (PBE) on crystalline FeBiI at its relaxed geometry.

a b c (Å): 6.201 3.691 14.257
angles (deg): 90.00 106.86 90.00
Last column: magnetic moment on the atom in μB.
Positions (direct):
Bi  0.623  0.500  0.802  -0.28
Bi  0.767  0.000  0.038  -0.21
Bi  0.623  0.000  0.302  -0.28
Bi  0.767  0.500  0.538  -0.21
Fe  0.780  0.500  0.185  2.06
Fe  0.780  0.000  0.685  2.06
Fe  0.129  0.000  0.198  2.65
Fe  0.129  0.500  0.698  2.65
I  0.139  0.500  0.336  0.04
I  0.139  0.000  0.836  0.04
I  0.325  0.500  0.097  0.01
I  0.325  0.000  0.597  0.01

Output
DFT total energy   -4.3988 eV per atom
Formation energy without anion corrections   22 kJ per mole of atoms
DOS(E_F)   4.68 states/eV per cell
Energy relative to the lowest polymorph listed for this composition   26.6 kJ/mol of formula units